The following is a PBE+U calculation of CaCoRe2O8 after structural relaxation, from Alexandria.

Cell and atoms, written as extended XYZ:
```
12
Lattice="3.410 -3.564 0.000 3.410 3.564 0.000 0.000 0.000 5.957" Properties=species:S:1:pos:R:3 pbc="T T T"
Ca 0.000 0.000 0.000
Co 0.000 0.000 2.978
Re 3.410 0.000 1.615
Re 3.410 0.000 4.341
O 1.572 0.000 1.654
O 1.572 0.000 4.303
O 3.410 1.485 2.978
O 3.410 1.208 0.000
O 3.410 -1.208 0.000
O 3.410 -1.485 2.978
O 5.249 0.000 1.654
O 5.249 0.000 4.303
```

Computed properties:
- E_tot (eV per atom) = -7.711